Compound: Tc2B2Mo
Source: the Alexandria database
Functional: PBE
Structure: relaxed

Values from the calculation:
As for the formation energy: 0.4212 eV/atom. Its space group is P4/mbm.

Unit cell a=6.580 b=6.580 c=2.732 alpha=90.00 beta=90.00 gamma=90.00
Fractional positions:
Tc1 0.137 0.363 0.000
Tc2 0.363 0.863 0.000
Tc3 0.637 0.137 0.000
Tc4 0.863 0.637 0.000
B1 0.159 0.659 0.500
B2 0.341 0.159 0.500
B3 0.659 0.841 0.500
B4 0.841 0.341 0.500
Mo1 0.000 0.000 0.000
Mo2 0.500 0.500 0.000

---

Compound: Ac3BiPtN
Source: the Alexandria database
Functional: PBE
Structure: relaxed

Values from the calculation:
As for the final energy: -6.115 eV per atom. Its space group is P2_1/m.

Unit cell a=9.425 b=4.484 c=10.155 alpha=90.00 beta=103.24 gamma=90.00
Fractional positions:
Ac1 0.068 0.250 0.348
Ac2 0.334 0.250 0.978
Ac3 0.391 0.750 0.661
Ac4 0.609 0.250 0.339
Ac5 0.666 0.750 0.022
Ac6 0.932 0.750 0.652
Bi1 0.313 0.750 0.273
Bi2 0.687 0.250 0.727
Pt1 0.154 0.250 0.650
Pt2 0.846 0.750 0.350
N1 0.414 0.750 0.897
N2 0.586 0.250 0.103

---

Compound: Ba2LaMn
Source: the Alexandria database
Functional: PBE
Structure: relaxed

Values from the calculation:
As for the formation energy: 0.2836 eV/atom. Its space group is P4mm.

Unit cell a=3.989 b=3.989 c=10.467 alpha=90.00 beta=90.00 gamma=90.00
Fractional positions:
Ba1 0.000 0.000 0.000
Ba2 0.500 0.500 0.347
La1 0.000 0.000 0.645
Mn1 0.500 0.500 0.790

---

Question: Number 3 is which compound?
Answer: Ba2LaMn